[1]
Material: Li5Te
Method: DFT, PBE-GGA
State: relaxed

abc: 5.5583 5.5583 5.5583
angles: 60.00 60.00 60.00
Fractional positions:
Li 0.0000 0.0000 0.0000
Li 0.1253 0.6249 0.6249
Li 0.6249 0.1253 0.6249
Li 0.6249 0.6249 0.1253
Li 0.6249 0.6249 0.6249
Te 0.2500 0.2500 0.2500

Summary:
DOS(E_F) = 0.238 states/eV/atom
space-group type = F-43m (216)
crystal system = cubic
formation energy (no corrections) = -0.22 eV/atom
offset from the most stable computed form = 245 meV/atom

=====

[2]
Material: Hf3Zr2In3
Method: DFT, PBE-GGA
State: relaxed

abc: 3.3918 5.1584 10.2637
angles: 90.00 90.00 90.00
Fractional positions:
Hf 0.0000 0.0000 0.0000
Hf 0.0000 0.0000 0.5000
Hf 0.5000 0.5000 0.0000
Zr 0.5000 0.0000 0.2523
Zr 0.5000 0.0000 0.7477
In 0.0000 0.5000 0.2457
In 0.0000 0.5000 0.7543
In 0.5000 0.5000 0.5000

Summary:
DOS(E_F) = 1.179 states/eV/atom
space-group type = Pmmm (47)
crystal system = orthorhombic
offset from the most stable computed form = 144 meV/atom

=====

[3]
Material: CaTcBr2
Method: DFT, PBE-GGA
State: relaxed

abc: 5.9291 5.9291 5.6727
angles: 93.96 93.96 35.29
Fractional positions:
Ca 0.0000 0.0000 0.0000
Tc 0.3309 0.3309 0.6875
Br 0.4988 0.4988 0.4187
Br 0.7205 0.7205 0.9708

Summary:
DOS(E_F) = 0.068 states/eV/atom
space-group type = Cm (8)
crystal system = monoclinic
formation energy (no corrections) = -0.21 eV/atom
offset from the most stable computed form = 153 meV/atom

=====

[4]
Material: TlZn4As
Method: DFT, PBE-GGA
State: relaxed

abc: 5.4154 5.4154 5.4154
angles: 60.00 60.00 60.00
Fractional positions:
Tl 0.0000 0.0000 0.0000
Zn 0.1280 0.6240 0.6240
Zn 0.6240 0.1280 0.6240
Zn 0.6240 0.6240 0.1280
Zn 0.6240 0.6240 0.6240
As 0.2500 0.2500 0.2500

Summary:
DOS(E_F) = 0.496 states/eV/atom
space-group type = F-43m (216)
crystal system = cubic
VASP energy = -1.825 eV/atom

=====

[5]
Material: BeIn2Hg
Method: DFT, PBE-GGA
State: relaxed

abc: 3.1399 3.1399 8.7847
angles: 90.00 90.00 90.00
Fractional positions:
Be 0.0000 0.0000 0.0000
In 0.0000 0.0000 0.4587
In 0.5000 0.5000 0.7784
Hg 0.5000 0.5000 0.1589

Summary:
DOS(E_F) = 0.254 states/eV/atom
space-group type = P4mm (99)
crystal system = tetragonal
offset from the most stable computed form = 56 meV/atom

=====

[6]
Material: LaSiI2O
Method: DFT, PBE-GGA
State: relaxed

abc: 5.9921 5.9921 3.6364
angles: 90.00 90.00 90.00
Fractional positions:
La 0.0000 0.0000 0.0000
Si 0.5000 0.5000 0.5000
I 0.0000 0.5000 0.5000
I 0.5000 0.0000 0.5000
O 0.5000 0.5000 0.0000

Summary:
DOS(E_F) = 0.945 states/eV/atom
space-group type = P4/mmm (123)
crystal system = tetragonal
formation energy (no corrections) = -0.78 eV/atom
offset from the most stable computed form = 9 meV/atom

=====

What did the second record say?
Material: Hf3Zr2In3
Method: DFT, PBE-GGA
State: relaxed

abc: 3.3918 5.1584 10.2637
angles: 90.00 90.00 90.00
Fractional positions:
Hf 0.0000 0.0000 0.0000
Hf 0.0000 0.0000 0.5000
Hf 0.5000 0.5000 0.0000
Zr 0.5000 0.0000 0.2523
Zr 0.5000 0.0000 0.7477
In 0.0000 0.5000 0.2457
In 0.0000 0.5000 0.7543
In 0.5000 0.5000 0.5000

Summary:
DOS(E_F) = 1.179 states/eV/atom
space-group type = Pmmm (47)
crystal system = orthorhombic
offset from the most stable computed form = 144 meV/atom

=====

Question: Look up the DOS(E_F) of the third one.
Answer: 0.068 states/eV/atom

=====

Question: Among the records above, which one has the highest DOS(E_F)?
Answer: Hf3Zr2In3